1.
GdDy2Ho | Alexandria via LeMat-Bulk | PBE-GGA | relaxed; calculated formation energy = 0.02 eV per atom; energy above the most stable polymorph in this dataset = 0.0021 eV per atom
1.0
3.545 0.000 0.000
0.000 3.545 0.000
0.000 0.000 10.033
Gd Ho Dy
1 1 2
direct
0.500 0.500 0.000 Gd
0.500 0.500 0.500 Ho
0.000 0.000 0.747 Dy
0.000 0.000 0.253 Dy

=====

2.
GdDyHo2 | Alexandria via LeMat-Bulk | PBE-GGA | relaxed; calculated formation energy = 0.12 eV per atom; energy above the most stable polymorph in this dataset = 0.0992 eV per atom
1.0
-3.171 -0.047 4.676
2.308 -1.399 4.964
0.765 3.945 3.971
Gd Ho Dy
1 2 1
direct
0.500 0.500 0.500 Gd
0.250 0.250 0.250 Ho
0.750 0.750 0.750 Ho
0.000 0.000 0.000 Dy

=====

3.
GdDy4Ho | Alexandria via LeMat-Bulk | PBE-GGA | relaxed; calculated formation energy = 0.25 eV per atom
1.0
-0.243 -0.114 -6.558
5.084 -2.335 -3.432
-0.530 -5.725 -3.165
Gd Ho Dy
1 1 4
direct
0.250 0.250 0.250 Gd
0.000 0.000 0.000 Ho
0.626 0.626 0.123 Dy
0.626 0.123 0.626 Dy
0.626 0.626 0.626 Dy
0.123 0.626 0.626 Dy

=====

4.
GdDy2Ho | Alexandria via LeMat-Bulk | PBE-GGA | relaxed; calculated formation energy = 0.02 eV per atom; energy above the most stable polymorph in this dataset = 0.0020 eV per atom
1.0
3.548 0.000 0.000
1.774 3.073 0.000
1.774 1.024 11.565
Gd Ho Dy
1 1 2
direct
0.500 0.500 0.500 Gd
0.000 0.000 0.000 Ho
0.749 0.749 0.752 Dy
0.251 0.251 0.248 Dy

=====

5.
GdDy2Ho | Alexandria via LeMat-Bulk | PBE-GGA | relaxed; calculated formation energy = 0.12 eV per atom; energy above the most stable polymorph in this dataset = 0.1036 eV per atom
1.0
5.658 0.000 0.000
2.829 4.900 0.000
2.829 1.633 4.620
Gd Ho Dy
1 1 2
direct
0.500 0.500 0.500 Gd
0.000 0.000 0.000 Ho
0.250 0.250 0.250 Dy
0.750 0.750 0.750 Dy

=====

6.
GdDyHo2 | Alexandria via LeMat-Bulk | PBE-GGA | relaxed; calculated formation energy = 0.02 eV per atom; energy above the most stable polymorph in this dataset = 0.0000 eV per atom
1.0
3.544 0.000 0.000
1.772 3.069 0.000
1.772 1.023 11.550
Gd Ho Dy
1 2 1
direct
0.500 0.500 0.500 Gd
0.749 0.749 0.752 Ho
0.251 0.251 0.248 Ho
0.000 0.000 0.000 Dy

=====

7.
GdDy2Ho | Alexandria via LeMat-Bulk | PBE-GGA | relaxed; calculated formation energy = 0.02 eV per atom; energy above the most stable polymorph in this dataset = 0.0000 eV per atom
1.0
-4.232 2.448 1.117
-1.115 -3.488 3.422
2.447 2.639 3.488
Gd Ho Dy
1 1 2
direct
0.500 0.000 0.000 Gd
0.500 0.500 0.500 Ho
0.000 0.000 0.500 Dy
0.000 0.500 0.000 Dy

=====

8.
GdDyHoIn | Alexandria via LeMat-Bulk | PBE-GGA | relaxed; calculated formation energy = -0.15 eV per atom
1.0
-4.299 -2.830 -1.793
0.008 -2.065 -5.044
0.398 -5.385 -0.740
Gd In Ho Dy
1 1 1 1
direct
0.500 0.500 0.500 Gd
0.250 0.250 0.250 In
0.750 0.750 0.750 Ho
0.000 0.000 0.000 Dy

=====

9.
LaGdDyHo | Alexandria via LeMat-Bulk | PBE-GGA | relaxed; calculated formation energy = 0.10 eV per atom
1.0
-3.582 4.452 0.543
-5.628 -0.910 0.669
-2.499 1.072 5.054
Gd La Ho Dy
1 1 1 1
direct
0.750 0.750 0.750 Gd
0.250 0.250 0.250 La
0.000 0.000 0.000 Ho
0.500 0.500 0.500 Dy

=====

10.
GdDyHoMg | Alexandria via LeMat-Bulk | PBE-GGA | relaxed; calculated formation energy = 0.04 eV per atom
1.0
-4.993 -2.062 1.028
-1.132 -2.127 4.943
-3.414 2.635 3.411
Mg Gd Ho Dy
1 1 1 1
direct
0.000 0.000 0.000 Mg
0.750 0.750 0.750 Gd
0.500 0.500 0.500 Ho
0.250 0.250 0.250 Dy

=====

11.
NdGdDyHo | Alexandria via LeMat-Bulk | PBE-GGA | relaxed; calculated formation energy = 0.11 eV per atom
1.0
5.706 0.000 0.000
2.853 4.941 0.000
2.853 1.647 4.659
Gd Nd Ho Dy
1 1 1 1
direct
0.750 0.750 0.750 Gd
0.250 0.250 0.250 Nd
0.000 0.000 0.000 Ho
0.500 0.500 0.500 Dy

=====

12.
PrGdDyHo | Alexandria via LeMat-Bulk | PBE-GGA | relaxed; calculated formation energy = 0.11 eV per atom
1.0
-2.798 -4.106 2.831
1.886 -5.396 -0.185
2.340 -2.372 4.648
Pr Gd Ho Dy
1 1 1 1
direct
0.250 0.250 0.250 Pr
0.750 0.750 0.750 Gd
0.000 0.000 0.000 Ho
0.500 0.500 0.500 Dy

=====

13.
GdDyHoTl | Alexandria via LeMat-Bulk | PBE-GGA | relaxed; calculated formation energy = -0.06 eV per atom
1.0
-3.007 2.196 4.008
-5.079 -1.814 0.917
-1.096 -2.906 4.503
Tl Gd Ho Dy
1 1 1 1
direct
0.750 0.750 0.750 Tl
0.500 0.500 0.500 Gd
0.250 0.250 0.250 Ho
0.000 0.000 0.000 Dy

=====

14.
GdDyHoZr | Alexandria via LeMat-Bulk | PBE-GGA | relaxed; calculated formation energy = 0.21 eV per atom
1.0
5.483 0.000 0.000
2.742 4.749 0.000
2.742 1.583 4.477
Gd Ho Zr Dy
1 1 1 1
direct
0.500 0.500 0.500 Gd
0.750 0.750 0.750 Ho
0.000 0.000 0.000 Zr
0.250 0.250 0.250 Dy

=====

15.
GdDyTeI | Alexandria via LeMat-Bulk | PBE-GGA | relaxed; formation energy from raw total energies = -0.977 eV/atom
1.0
-1.628 3.834 3.385
-0.045 -0.929 5.286
3.555 2.453 3.186
I Gd Te Dy
1 1 1 1
direct
0.750 0.750 0.750 I
0.000 0.000 0.000 Gd
0.250 0.250 0.250 Te
0.500 0.500 0.500 Dy

=====

16.
GdDyIn4 | Alexandria via LeMat-Bulk | PBE-GGA | relaxed; calculated formation energy = -0.35 eV per atom
1.0
6.004 0.000 0.000
3.002 5.200 0.000
3.002 1.733 4.902
Gd In Dy
1 4 1
direct
0.000 0.000 0.000 Gd
0.625 0.625 0.125 In
0.625 0.125 0.625 In
0.625 0.625 0.625 In
0.125 0.625 0.625 In
0.250 0.250 0.250 Dy

=====

17.
GdDyInIr | Alexandria via LeMat-Bulk | PBE-GGA | relaxed; calculated formation energy = -0.53 eV per atom
1.0
5.099 0.000 0.000
2.549 4.416 0.000
2.549 1.472 4.163
Gd Ir In Dy
1 1 1 1
direct
0.000 0.000 0.000 Gd
0.250 0.250 0.250 Ir
0.750 0.750 0.750 In
0.500 0.500 0.500 Dy

=====

18.
LiGdDyIn | Alexandria via LeMat-Bulk | PBE-GGA | relaxed; calculated formation energy = -0.27 eV per atom
1.0
-2.831 1.440 4.231
1.840 -0.961 4.866
1.643 4.002 3.045
Gd In Li Dy
1 1 1 1
direct
0.500 0.500 0.500 Gd
0.750 0.750 0.750 In
0.250 0.250 0.250 Li
0.000 0.000 0.000 Dy

=====

19.
GdDyInOs | Alexandria via LeMat-Bulk | PBE-GGA | relaxed; calculated formation energy = -0.22 eV per atom
1.0
-1.001 -2.665 4.188
-1.200 -4.908 -0.347
3.266 -3.524 1.600
In Gd Os Dy
1 1 1 1
direct
0.000 0.000 0.000 In
0.250 0.250 0.250 Gd
0.500 0.500 0.500 Os
0.750 0.750 0.750 Dy

=====

20.
GdDyInPb | Alexandria via LeMat-Bulk | PBE-GGA | relaxed; calculated formation energy = -0.43 eV per atom
1.0
-0.986 -0.078 5.318
-0.182 -4.713 2.648
3.943 -1.311 3.463
Pb Gd In Dy
1 1 1 1
direct
0.500 0.500 0.500 Pb
0.250 0.250 0.250 Gd
0.000 0.000 0.000 In
0.750 0.750 0.750 Dy

=====

21.
GdDyInPt | Alexandria via LeMat-Bulk | PBE-GGA | relaxed; calculated formation energy = -0.74 eV per atom
1.0
5.155 0.000 0.000
2.577 4.464 0.000
2.577 1.488 4.209
Gd In Pt Dy
1 1 1 1
direct
0.000 0.000 0.000 Gd
0.250 0.250 0.250 In
0.750 0.750 0.750 Pt
0.500 0.500 0.500 Dy

=====

22.
GdDyScIn | Alexandria via LeMat-Bulk | PBE-GGA | relaxed; calculated formation energy = -0.17 eV per atom
1.0
-3.569 0.224 3.991
1.611 -0.615 5.073
-0.021 4.187 3.344
Sc Gd In Dy
1 1 1 1
direct
0.000 0.000 0.000 Sc
0.250 0.250 0.250 Gd
0.500 0.500 0.500 In
0.750 0.750 0.750 Dy

=====

23.
SmGdDyIn | Alexandria via LeMat-Bulk | PBE-GGA | relaxed; calculated formation energy = -0.13 eV per atom
1.0
-2.528 1.319 -4.693
-5.412 0.929 -0.036
-1.906 5.095 -0.754
Gd In Sm Dy
1 1 1 1
direct
0.000 0.000 0.000 Gd
0.250 0.250 0.250 In
0.750 0.750 0.750 Sm
0.500 0.500 0.500 Dy

=====

24.
GdDyInSn | Alexandria via LeMat-Bulk | PBE-GGA | relaxed; calculated formation energy = -0.52 eV per atom
1.0
5.354 0.000 0.000
2.677 4.636 0.000
2.677 1.545 4.371
Gd In Sn Dy
1 1 1 1
direct
0.250 0.250 0.250 Gd
0.500 0.500 0.500 In
0.000 0.000 0.000 Sn
0.750 0.750 0.750 Dy

=====

25.
GdDyZnIn | Alexandria via LeMat-Bulk | PBE-GGA | relaxed; calculated formation energy = -0.40 eV per atom
1.0
5.229 0.000 0.000
2.615 4.529 0.000
2.615 1.510 4.270
Zn Gd In Dy
1 1 1 1
direct
0.000 0.000 0.000 Zn
0.750 0.750 0.750 Gd
0.500 0.500 0.500 In
0.250 0.250 0.250 Dy

=====

26.
GdDyZrIn | Alexandria via LeMat-Bulk | PBE-GGA | relaxed; calculated formation energy = -0.08 eV per atom
1.0
5.357 0.000 0.000
2.678 4.639 0.000
2.678 1.546 4.374
Gd In Zr Dy
1 1 1 1
direct
0.000 0.000 0.000 Gd
0.250 0.250 0.250 In
0.750 0.750 0.750 Zr
0.500 0.500 0.500 Dy

=====

27.
Gd2DyIr | Alexandria via LeMat-Bulk | PBE-GGA | relaxed; calculated formation energy = -0.29 eV per atom; energy above the most stable polymorph in this dataset = 0.0669 eV per atom
1.0
3.868 0.000 0.000
1.934 3.350 0.000
1.934 1.117 9.374
Gd Ir Dy
2 1 1
direct
0.275 0.275 0.176 Gd
0.725 0.725 0.824 Gd
0.000 0.000 0.000 Ir
0.500 0.500 0.500 Dy

=====

28.
GdDyIr4 | Alexandria via LeMat-Bulk | PBE-GGA | relaxed; calculated formation energy = -0.80 eV per atom
1.0
-4.028 -1.591 -3.175
0.298 -4.712 -2.559
-3.155 -4.077 1.505
Gd Ir Dy
1 4 1
direct
0.000 0.000 0.000 Gd
0.625 0.625 0.125 Ir
0.625 0.125 0.625 Ir
0.625 0.625 0.625 Ir
0.125 0.625 0.625 Ir
0.250 0.250 0.250 Dy

=====

29.
Gd2DyIr | Alexandria via LeMat-Bulk | PBE-GGA | relaxed; calculated formation energy = -0.35 eV per atom; energy above the most stable polymorph in this dataset = 0.0000 eV per atom
1.0
3.540 0.000 0.000
0.000 3.540 0.000
0.000 0.000 8.674
Gd Ir Dy
2 1 1
direct
0.000 0.000 0.813 Gd
0.000 0.000 0.187 Gd
0.500 0.500 0.000 Ir
0.500 0.500 0.500 Dy

=====

30.
GdDyIr2 | Alexandria via LeMat-Bulk | PBE-GGA | relaxed; calculated formation energy = -0.77 eV per atom; energy above the most stable polymorph in this dataset = 0.0000 eV per atom
1.0
3.598 0.000 0.000
0.000 4.759 0.000
0.000 0.000 4.759
Gd Ir Dy
1 2 1
direct
0.500 0.000 0.000 Gd
0.000 0.000 0.500 Ir
0.000 0.500 0.000 Ir
0.500 0.500 0.500 Dy

=====

Number 1: magnetic moment 1.795 μB per atom, raw total energy -0.2552 hartree per atom. Number 2: magnetic moment 2.187 μB per atom, raw total energy -0.2513 hartree per atom. Number 3: magnetic moment 1.395 μB per atom, raw total energy -0.2179 hartree per atom. Number 4: magnetic moment 1.814 μB per atom, raw total energy -0.2552 hartree per atom. Number 5: magnetic moment 2.238 μB per atom, raw total energy -0.2515 hartree per atom. Number 6: magnetic moment 1.813 μB per atom, raw total energy -0.2549 hartree per atom. Number 7: magnetic moment 1.775 μB per atom, raw total energy -0.2553 hartree per atom. Number 8: magnetic moment 2.108 μB per atom, raw total energy -0.2443 hartree per atom. Number 9: magnetic moment 1.931 μB per atom, raw total energy -0.2552 hartree per atom. Number 10: magnetic moment 1.885 μB per atom, raw total energy -0.2269 hartree per atom. Number 11: magnetic moment 1.998 μB per atom, raw total energy -0.2533 hartree per atom. Number 12: magnetic moment 1.959 μB per atom, raw total energy -0.2535 hartree per atom. Number 13: magnetic moment 2.153 μB per atom, raw total energy -0.2375 hartree per atom. Number 14: magnetic moment 1.283 μB per atom, raw total energy -0.2845 hartree per atom. Number 15: magnetic moment 1.874 μB per atom, raw total energy -0.2506 hartree per atom. Number 16: magnetic moment 1.249 μB per atom, raw total energy -0.1944 hartree per atom. Number 17: magnetic moment 1.780 μB per atom, raw total energy -0.2977 hartree per atom. Number 18: magnetic moment 1.935 μB per atom, raw total energy -0.2245 hartree per atom. Number 19: magnetic moment 1.742 μB per atom, raw total energy -0.3080 hartree per atom. Number 20: magnetic moment 1.802 μB per atom, raw total energy -0.2466 hartree per atom. Number 21: magnetic moment 1.777 μB per atom, raw total energy -0.2793 hartree per atom. Number 22: magnetic moment 2.094 μB per atom, raw total energy -0.2613 hartree per atom. Number 23: magnetic moment 2.146 μB per atom, raw total energy -0.2449 hartree per atom. Number 24: magnetic moment 1.770 μB per atom, raw total energy -0.2529 hartree per atom. Number 25: magnetic moment 1.918 μB per atom, raw total energy -0.2233 hartree per atom. Number 26: magnetic moment 2.419 μB per atom, raw total energy -0.2784 hartree per atom. Number 27: magnetic moment 3.758 μB per atom, raw total energy -0.3929 hartree per atom. Number 28: magnetic moment 1.171 μB per atom, raw total energy -0.3608 hartree per atom. Number 29: magnetic moment 3.746 μB per atom, raw total energy -0.3954 hartree per atom. Number 30: magnetic moment 1.758 μB per atom, raw total energy -0.3629 hartree per atom.